(1)
The following is a DFT calculation (PBE-GGA) of crystalline SrIn6Pb12 at its relaxed geometry.

* space group: Im-3
* D(E_F): 11.19 states/eV/f.u.

a b c (Å): 9.175 9.175 9.175
angles (deg): 109.47 109.47 109.47
Element x y z (fractional)
Sr (0.000, 0.000, 0.000)
In (0.362, 0.500, 0.862)
In (0.638, 0.500, 0.138)
In (0.500, 0.862, 0.362)
In (0.500, 0.138, 0.638)
In (0.862, 0.362, 0.500)
In (0.138, 0.638, 0.500)
Pb (0.256, 0.047, 0.791)
Pb (0.256, 0.466, 0.209)
Pb (0.744, 0.534, 0.791)
Pb (0.744, 0.953, 0.209)
Pb (0.047, 0.791, 0.256)
Pb (0.466, 0.209, 0.256)
Pb (0.534, 0.791, 0.744)
Pb (0.953, 0.209, 0.744)
Pb (0.791, 0.256, 0.047)
Pb (0.209, 0.256, 0.466)
Pb (0.791, 0.744, 0.534)
Pb (0.209, 0.744, 0.953)

(2)
The following is a DFT calculation (PBE-GGA) of crystalline SrIn6Pb12 at its relaxed geometry.

* space group: R-3
* D(E_F): 10.02 states/eV/f.u.

a b c (Å): 8.410 8.410 8.410
angles (deg): 89.02 90.98 90.98
Element x y z (fractional)
Sr (0.000, 0.000, 0.000)
In (0.117, 0.732, 0.283)
In (0.732, 0.717, 0.117)
In (0.283, 0.117, 0.268)
In (0.883, 0.268, 0.717)
In (0.268, 0.283, 0.883)
In (0.717, 0.883, 0.732)
Pb (0.473, 0.797, 0.444)
Pb (0.203, 0.444, 0.527)
Pb (0.556, 0.527, 0.797)
Pb (0.527, 0.203, 0.556)
Pb (0.797, 0.556, 0.473)
Pb (0.444, 0.473, 0.203)
Pb (0.835, 0.016, 0.377)
Pb (0.377, 0.835, 0.984)
Pb (0.016, 0.623, 0.835)
Pb (0.165, 0.984, 0.623)
Pb (0.623, 0.165, 0.016)
Pb (0.984, 0.377, 0.165)

Of them, (2) has the highest stability.

(1)
The following is a DFT calculation (PBE-GGA) of crystalline SrIn3Pb at its relaxed geometry.

* space group: Pm-3m
* D(E_F): 3.62 states/eV/f.u.

a b c (Å): 5.869 5.869 5.869
angles (deg): 90.00 90.00 90.00
Element x y z (fractional)
Pb (0.000, 0.000, 0.000)
Sr (0.500, 0.500, 0.500)
In (0.000, 0.500, 0.000)
In (0.000, 0.000, 0.500)
In (0.500, 0.000, 0.000)

(2)
The following is a DFT calculation (PBE-GGA) of crystalline SrIn3Pb at its relaxed geometry.

* space group: Pnma
* D(E_F): 2.26 states/eV/f.u.

a b c (Å): 7.870 8.377 9.210
angles (deg): 90.00 90.00 90.00
Element x y z (fractional)
Sr (0.750, 0.349, 0.684)
Sr (0.250, 0.151, 0.184)
Sr (0.250, 0.651, 0.316)
Sr (0.750, 0.849, 0.816)
In (0.938, 0.861, 0.160)
In (0.438, 0.639, 0.660)
In (0.062, 0.639, 0.660)
In (0.438, 0.139, 0.840)
In (0.062, 0.139, 0.840)
In (0.562, 0.361, 0.340)
In (0.938, 0.361, 0.340)
In (0.562, 0.861, 0.160)
In (0.750, 0.184, 0.070)
In (0.250, 0.316, 0.570)
In (0.250, 0.816, 0.930)
In (0.750, 0.684, 0.430)
Pb (0.000, 0.000, 0.500)
Pb (0.500, 0.500, 0.000)
Pb (0.000, 0.500, 0.000)
Pb (0.500, 0.000, 0.500)

Of them, (2) has the highest stability.

(1)
The following is a DFT calculation (PBE-GGA) of crystalline SrInPb3 at its relaxed geometry.

* space group: Pm-3m
* D(E_F): 5.43 states/eV/f.u.

a b c (Å): 6.115 6.115 6.115
angles (deg): 90.00 90.00 90.00
Site moments in Bohr magnetons follow the coordinates.
Element x y z (fractional)
Pb (0.000, 0.500, 0.000)  0.10
Pb (0.000, 0.000, 0.500)  0.06
Pb (0.500, 0.000, 0.000)  0.08
Sr (0.000, 0.000, 0.000)  0.11
In (0.500, 0.500, 0.500)  -0.01

(2)
The following is a DFT calculation (PBE-GGA) of crystalline SrInPb3 at its relaxed geometry.

* space group: P2_1/m
* D(E_F): 1.90 states/eV/f.u.

a b c (Å): 4.938 8.080 8.069
angles (deg): 88.53 90.00 90.00
Element x y z (fractional)
Sr (0.250, 0.063, 0.318)
Sr (0.750, 0.937, 0.682)
In (0.750, 0.369, 0.446)
In (0.250, 0.631, 0.554)
Pb (0.750, 0.742, 0.264)
Pb (0.250, 0.258, 0.736)
Pb (0.250, 0.811, 0.974)
Pb (0.750, 0.542, 0.845)
Pb (0.750, 0.189, 0.026)
Pb (0.250, 0.458, 0.155)

Of them, (2) has the highest stability.

(1)
The following is a DFT calculation (PBE-GGA) of crystalline SrIn2Pb6 at its relaxed geometry.

* space group: C2/m
* D(E_F): 4.76 states/eV/f.u.

a b c (Å): 3.617 10.145 10.145
angles (deg): 54.56 74.63 74.63
Element x y z (fractional)
Sr (0.000, 0.000, 0.000)
In (0.192, 0.350, 0.350)
In (0.808, 0.650, 0.650)
Pb (0.327, 0.997, 0.355)
Pb (0.673, 0.003, 0.645)
Pb (0.673, 0.645, 0.003)
Pb (0.500, 0.331, 0.669)
Pb (0.500, 0.669, 0.331)
Pb (0.327, 0.355, 0.997)

(2)
The following is a DFT calculation (PBE-GGA) of crystalline SrIn2Pb6 at its relaxed geometry.

* space group: C2/m
* D(E_F): 4.65 states/eV/f.u.

a b c (Å): 4.803 6.247 10.724
angles (deg): 72.70 77.06 67.40
Element x y z (fractional)
Sr (0.000, 0.500, 0.500)
In (0.322, 0.629, 0.727)
In (0.678, 0.371, 0.273)
Pb (0.669, 0.722, 0.940)
Pb (0.331, 0.278, 0.060)
Pb (0.998, 0.843, 0.161)
Pb (0.328, 0.956, 0.389)
Pb (0.002, 0.157, 0.839)
Pb (0.672, 0.044, 0.611)

Of them, (2) has the highest stability.

(1)
The following is a DFT calculation (PBE-GGA) of crystalline SrTlInPb at its relaxed geometry.

* space group: F-43m
* D(E_F): 0.86 states/eV/f.u.

a b c (Å): 5.658 5.658 5.658
angles (deg): 60.00 60.00 60.00
Element x y z (fractional)
Pb (0.250, 0.250, 0.250)
Sr (0.750, 0.750, 0.750)
Tl (0.000, 0.000, 0.000)
In (0.500, 0.500, 0.500)

(2)
The following is a DFT calculation (PBE-GGA) of crystalline SrTlInPb at its relaxed geometry.

* space group: Pmmm
* D(E_F): 2.41 states/eV/f.u.

a b c (Å): 5.065 4.802 5.020
angles (deg): 90.00 90.00 90.00
Element x y z (fractional)
Sr (0.000, 0.500, 0.500)
Tl (0.000, 0.000, 0.000)
In (0.500, 0.500, 0.000)
Pb (0.500, 0.000, 0.500)

Of them, (2) has the highest stability.

(1)
The following is a DFT calculation (PBE-GGA) of crystalline TaInPb3 at its relaxed geometry.

* space group: Pm-3m
* D(E_F): 8.16 states/eV/f.u.

a b c (Å): 5.618 5.618 5.618
angles (deg): 90.00 90.00 90.00
Site moments in Bohr magnetons follow the coordinates.
Element x y z (fractional)
Pb (0.000, 0.500, 0.000)  0.00
Pb (0.000, 0.000, 0.500)  -0.01
Pb (0.500, 0.000, 0.000)  -0.01
In (0.000, 0.000, 0.000)  0.03
Ta (0.500, 0.500, 0.500)  2.06

(2)
The following is a DFT calculation (PBE-GGA) of crystalline TaInPb3 at its relaxed geometry.

* space group: Pm-3m
* D(E_F): 3.22 states/eV/f.u.

a b c (Å): 5.543 5.543 5.543
angles (deg): 90.00 90.00 90.00
Element x y z (fractional)
Pb (0.000, 0.500, 0.000)
Pb (0.000, 0.000, 0.500)
Pb (0.500, 0.000, 0.000)
In (0.500, 0.500, 0.500)
Ta (0.000, 0.000, 0.000)

Of them, (2) has the highest stability.

(1)
The following is a DFT calculation (PBE-GGA) of crystalline TaInPb at its relaxed geometry.

* space group: F-43m
* D(E_F): 3.57 states/eV/f.u.

a b c (Å): 4.849 4.849 4.849
angles (deg): 60.00 60.00 60.00
Element x y z (fractional)
In (0.000, 0.000, 0.000)
Pb (0.500, 0.500, 0.500)
Ta (0.750, 0.750, 0.750)

(2)
The following is a DFT calculation (PBE-GGA) of crystalline TaInPb at its relaxed geometry.

* space group: Imm2
* D(E_F): 2.11 states/eV/f.u.

a b c (Å): 5.683 5.683 5.683
angles (deg): 146.34 138.16 54.73
Element x y z (fractional)
In (0.987, 0.987, 0.000)
Pb (0.673, 0.673, 0.000)
Ta (0.340, 0.340, 0.000)

Of them, (2) has the highest stability.

(1)
The following is a DFT calculation (PBE-GGA) of crystalline TaIn3Pb at its relaxed geometry.

* space group: Pm-3m
* D(E_F): 9.75 states/eV/f.u.

a b c (Å): 5.653 5.653 5.653
angles (deg): 90.00 90.00 90.00
Site moments in Bohr magnetons follow the coordinates.
Element x y z (fractional)
Pb (0.000, 0.000, 0.000)  0.01
In (0.000, 0.500, 0.000)  -0.01
In (0.000, 0.000, 0.500)  0.01
In (0.500, 0.000, 0.000)  -0.02
Ta (0.500, 0.500, 0.500)  2.09

(2)
The following is a DFT calculation (PBE-GGA) of crystalline TaIn3Pb at its relaxed geometry.

* space group: Pm-3m
* D(E_F): 2.06 states/eV/f.u.

a b c (Å): 5.413 5.413 5.413
angles (deg): 90.00 90.00 90.00
Element x y z (fractional)
Pb (0.500, 0.500, 0.500)
In (0.000, 0.500, 0.000)
In (0.000, 0.000, 0.500)
In (0.500, 0.000, 0.000)
Ta (0.000, 0.000, 0.000)

Of them, (2) has the highest stability.

(1)
The following is a DFT calculation (PBE-GGA) of crystalline Tb2InPb2 at its relaxed geometry.

* space group: Fddd
* D(E_F): 3.50 states/eV/f.u.

a b c (Å): 6.839 6.839 10.520
angles (deg): 95.01 95.01 137.02
Element x y z (fractional)
Tb (0.399, 0.601, 0.500)
Tb (0.149, 0.851, 0.000)
Tb (0.101, 0.899, 0.500)
Tb (0.851, 0.149, 0.000)
In (0.750, 0.250, 0.500)
In (0.500, 0.500, 0.000)
Pb (0.125, 0.375, 0.750)
Pb (0.625, 0.375, 0.250)
Pb (0.625, 0.375, 0.750)
Pb (0.625, 0.875, 0.250)

(2)
The following is a DFT calculation (PBE-GGA) of crystalline Tb2InPb2 at its relaxed geometry.

* space group: Pbam
* D(E_F): 4.73 states/eV/f.u.

a b c (Å): 3.574 5.110 17.383
angles (deg): 90.00 90.00 90.00
Element x y z (fractional)
Tb (0.000, 0.501, 0.319)
Tb (0.000, 0.499, 0.681)
Tb (0.000, 0.001, 0.181)
Tb (0.000, 0.999, 0.819)
In (0.000, 0.500, 0.500)
In (0.000, 0.000, 0.000)
Pb (0.500, 0.501, 0.136)
Pb (0.500, 0.499, 0.864)
Pb (0.500, 0.001, 0.364)
Pb (0.500, 0.999, 0.636)

Of them, (2) has the highest stability.

(1)
The following is a DFT calculation (PBE-GGA) of crystalline Tb3InPb2 at its relaxed geometry.

* space group: C2/c
* D(E_F): 4.92 states/eV/f.u.

a b c (Å): 6.408 6.432 9.016
angles (deg): 101.01 110.82 90.00
Element x y z (fractional)
Tb (0.627, 0.250, 0.000)
Tb (0.373, 0.750, 0.000)
Tb (0.283, 0.094, 0.336)
Tb (0.947, 0.406, 0.664)
Tb (0.053, 0.594, 0.336)
Tb (0.717, 0.906, 0.664)
In (0.880, 0.750, 0.000)
In (0.120, 0.250, 0.000)
Pb (0.551, 0.569, 0.326)
Pb (0.775, 0.069, 0.326)
Pb (0.225, 0.931, 0.674)
Pb (0.449, 0.431, 0.674)

(2)
The following is a DFT calculation (PBE-GGA) of crystalline Tb3InPb2 at its relaxed geometry.

* space group: Pnma
* D(E_F): 3.63 states/eV/f.u.

a b c (Å): 4.736 11.655 12.630
angles (deg): 90.00 90.00 90.00
Element x y z (fractional)
Tb (0.250, 0.375, 0.034)
Tb (0.750, 0.625, 0.966)
Tb (0.750, 0.875, 0.466)
Tb (0.250, 0.125, 0.534)
Tb (0.250, 0.682, 0.203)
Tb (0.750, 0.318, 0.797)
Tb (0.750, 0.182, 0.297)
Tb (0.250, 0.818, 0.703)
Tb (0.250, 0.421, 0.358)
Tb (0.750, 0.579, 0.642)
Tb (0.750, 0.921, 0.142)
Tb (0.250, 0.079, 0.858)
In (0.250, 0.137, 0.147)
In (0.750, 0.863, 0.853)
In (0.750, 0.637, 0.353)
In (0.250, 0.363, 0.647)
Pb (0.250, 0.673, 0.497)
Pb (0.750, 0.327, 0.503)
Pb (0.750, 0.173, 0.003)
Pb (0.250, 0.827, 0.997)
Pb (0.250, 0.962, 0.322)
Pb (0.750, 0.038, 0.678)
Pb (0.750, 0.462, 0.178)
Pb (0.250, 0.538, 0.822)

Of them, (1) has the highest stability.

(1)
The following is a DFT calculation (PBE-GGA) of crystalline InTcPb at its relaxed geometry.

* space group: P3m1
* D(E_F): 2.37 states/eV/f.u.

a b c (Å): 3.280 3.280 7.077
angles (deg): 90.00 90.00 120.00
Site moments in Bohr magnetons follow the coordinates.
Element x y z (fractional)
In (0.000, 0.000, 0.961)  0.00
Pb (0.667, 0.333, 0.368)  -0.01
Tc (0.333, 0.667, 0.670)  0.36

(2)
The following is a DFT calculation (PBE-GGA) of crystalline InTcPb at its relaxed geometry.

* space group: F-43m
* D(E_F): 3.44 states/eV/f.u.

a b c (Å): 4.640 4.640 4.640
angles (deg): 60.00 60.00 60.00
Element x y z (fractional)
In (0.000, 0.000, 0.000)
Pb (0.500, 0.500, 0.500)
Tc (0.250, 0.250, 0.250)

(3)
The following is a DFT calculation (PBE-GGA) of crystalline InTcPb at its relaxed geometry.

* space group: I4mm
* D(E_F): 0.31 states/eV/f.u.

a b c (Å): 5.438 5.438 5.438
angles (deg): 141.71 141.72 55.26
Element x y z (fractional)
In (0.014, 0.014, 0.000)
Pb (0.323, 0.323, 0.000)
Tc (0.663, 0.663, 0.000)

Of them, (3) has the highest stability.